# 1
The following is a PBE-GGA calculation of a relaxed structure of PmZnNi, from OQMD via LeMat-Bulk.

a = 6.603 Å, b = 6.603 Å, c = 6.603 Å
α = 90.00°, β = 90.00°, γ = 90.00°
Space group F-43m (No. 216)
Unique sites:
1 Pm 0.000 0.000 0.000 (multiplicity 4)
2 Zn 0.250 0.250 0.250 (multiplicity 4)
3 Ni 0.250 0.250 0.750 (multiplicity 4)

Summary:
As for the crystal system: cubic.


# 2
The following is a PBE-GGA calculation of a relaxed structure of TbTmNi4, from OQMD via LeMat-Bulk.

a = 7.120 Å, b = 7.120 Å, c = 7.120 Å
α = 90.00°, β = 90.00°, γ = 90.00°
Space group F-43m (No. 216)
Unique sites:
1 Tb 0.000 0.000 0.000 (multiplicity 4)
2 Tm 0.250 0.250 0.250 (multiplicity 4)
3 Ni 0.125 0.125 0.625 (multiplicity 16)

Summary:
As for the crystal system: cubic.


# 3
The following is a PBE-GGA calculation of a relaxed structure of LuMgFeSb, from OQMD via LeMat-Bulk.

a = 6.714 Å, b = 6.714 Å, c = 6.714 Å
α = 90.00°, β = 90.00°, γ = 90.00°
Space group F-43m (No. 216)
Unique sites:
1 Lu 0.000 0.000 0.000 (multiplicity 4)
2 Mg 0.250 0.250 0.750 (multiplicity 4)
3 Fe 0.000 0.000 0.500 (multiplicity 4)
4 Sb 0.250 0.250 0.250 (multiplicity 4)

Summary:
As for the crystal system: cubic.


# 4
The following is a PBE-GGA calculation of a relaxed structure of NdSmAgS3, from OQMD via LeMat-Bulk.

a = 7.599 Å, b = 3.956 Å, c = 9.529 Å
α = 90.00°, β = 104.74°, γ = 90.00°
Space group P2_1/m (No. 11)
Unique sites:
1 Nd 0.208 0.250 0.164 (multiplicity 2)
2 Sm 0.232 0.750 0.695 (multiplicity 2)
3 Ag 0.386 0.750 0.426 (multiplicity 2)
4 S 0.078 0.250 0.855 (multiplicity 2)
5 S 0.156 0.250 0.455 (multiplicity 2)
6 S 0.482 0.750 0.187 (multiplicity 2)

Summary:
As for the crystal system: monoclinic.


no.,total magnetic moment (μB/cell),E_tot (eV for the cell shown)
1,0.01,-42.5
2,0.01,-136.7
3,7.66,-72.6
4,0.03,-67.5